A plane-wave DFT calculation with PBE-GGA was carried out for a relaxed structure of Ho6PbSe2S3.

abc: 3.946 8.254 9.084
angles: 104.03 102.54 90.00
Atoms (fractional coordinates):
Ho  0.325  0.933  0.651
Ho  0.662  0.593  0.323
Ho  0.675  0.067  0.349
Ho  0.996  0.274  0.992
Ho  0.004  0.726  0.008
Ho  0.338  0.407  0.677
Pb  0.500  0.000  0.000
Se  0.831  0.665  0.661
Se  0.169  0.335  0.339
S  0.500  0.500  0.000
S  0.834  0.174  0.668
S  0.166  0.826  0.332

Output
Volume, Å³ per atom: 23.3
Space group: C2/m, No. 12
Raw formation energy, eV/atom: -1.6215
Total magnetization, μB per formula unit: 0.00
E_tot, eV/cell: -70.0


A plane-wave DFT calculation with PBE-GGA was carried out for a relaxed structure of AcZn2Pd.

abc: 4.281 5.724 7.736
angles: 90.00 90.00 111.96
Atoms (fractional coordinates):
Ac  0.937  0.874  0.250
Ac  0.063  0.126  0.750
Zn  0.344  0.688  0.943
Zn  0.656  0.312  0.057
Zn  0.656  0.312  0.443
Zn  0.344  0.688  0.557
Pd  0.218  0.437  0.250
Pd  0.782  0.563  0.750

Output
Volume, Å³ per atom: 22.0
ΔH_f (0 K), eV/atom: -0.544
ΔE to the lowest computed polymorph, eV/atom: 0.000
Space group: Cmcm, No. 63
Total magnetization, μB per formula unit: 0.00
E_tot, eV/cell: -28.1


A plane-wave DFT calculation with PBE-GGA was carried out for a relaxed structure of AlSi2Se.

abc: 5.863 5.863 5.863
angles: 148.07 138.02 53.70
Atoms (fractional coordinates):
Si  0.956  0.956  0.000
Si  0.770  0.270  0.500
Al  0.544  0.544  0.000
Se  0.229  0.729  0.500

Output
Volume, Å³ per atom: 17.7
ΔE to the lowest computed polymorph, eV/atom: 0.345
Space group: Imm2, No. 44
Raw formation energy, eV/atom: 0.3079
Total magnetization, μB per formula unit: 0.00
E_tot, eV/cell: -16.8